[1]
A relaxed structure of EuTlZnCu, computed with PBE-GGA.

a b c (Å): 7.0040 7.0040 7.0040
angles (deg): 90.00 90.00 90.00
Positions (direct):
Eu1 0.0000 0.0000 0.0000
Eu2 0.0000 0.5000 0.5000
Eu3 0.5000 0.0000 0.5000
Eu4 0.5000 0.5000 0.0000
Tl1 0.0000 0.0000 0.5000
Tl2 0.0000 0.5000 0.0000
Tl3 0.5000 0.0000 0.0000
Tl4 0.5000 0.5000 0.5000
Zn1 0.2500 0.2500 0.7500
Zn2 0.2500 0.7500 0.2500
Zn3 0.7500 0.2500 0.2500
Zn4 0.7500 0.7500 0.7500
Cu1 0.2500 0.2500 0.2500
Cu2 0.2500 0.7500 0.7500
Cu3 0.7500 0.2500 0.7500
Cu4 0.7500 0.7500 0.2500

Results
SG: F-43m (216)
Total DFT energy (no corrections), eV/atom: -4.6137

[2]
A relaxed structure of Nd5Bi5Rh, computed with PBE-GGA.

a b c (Å): 7.5672 7.5672 9.9944
angles (deg): 116.50 116.50 49.88
Positions (direct):
Nd1 0.0000 0.0000 0.0000
Nd2 0.3123 0.3123 0.7005
Nd3 0.3515 0.3515 0.1231
Nd4 0.6485 0.6485 0.8769
Nd5 0.6877 0.6877 0.2995
Bi1 0.1114 0.1114 0.7812
Bi2 0.2251 0.2251 0.3358
Bi3 0.5000 0.5000 0.5000
Bi4 0.7749 0.7749 0.6642
Bi5 0.8886 0.8886 0.2188
Rh1 0.5000 0.5000 0.0000

Results
SG: C2/m (12)
Total DFT energy (no corrections), eV/atom: -5.1504

[3]
A relaxed structure of NpTeAs, computed with PBE-GGA.

a b c (Å): 4.1369 4.1369 17.4296
angles (deg): 90.00 90.00 90.00
Positions (direct):
Np1 0.0000 0.0000 0.1205
Np2 0.0000 0.0000 0.8795
Np3 0.5000 0.5000 0.3795
Np4 0.5000 0.5000 0.6205
Te1 0.0000 0.0000 0.3140
Te2 0.0000 0.0000 0.6860
Te3 0.5000 0.5000 0.1860
Te4 0.5000 0.5000 0.8140
As1 0.0000 0.5000 0.0000
As2 0.0000 0.5000 0.5000
As3 0.5000 0.0000 0.0000
As4 0.5000 0.0000 0.5000

Results
SG: I4/mmm (139)
Total DFT energy (no corrections), eV/atom: -7.5683
Formation energy without anion corrections, meV/atom: -658